Li2ErLu: optimized geometry, GGA-PBE.

a = 3.654 Å, b = 3.654 Å, c = 7.295 Å
α = 90.00°, β = 90.00°, γ = 90.00°
Fractional positions:
Er: 0.500 0.500 0.500
Lu: 0.500 0.500 0.000
Li: 0.000 0.000 0.248
Li: 0.000 0.000 0.752

LiEr2Lu: optimized geometry, GGA-PBE.

a = 3.548 Å, b = 3.548 Å, c = 8.685 Å
α = 90.00°, β = 90.00°, γ = 90.00°
Fractional positions:
Lu: 0.500 0.500 0.500
Li: 0.500 0.500 0.000
Er: 0.000 0.000 0.227
Er: 0.000 0.000 0.773

Summary:
- Distance to the lowest polymorph of the same formula: 0.0000 eV/atom

Number 1: calculated formation energy 161 meV per atom. Number 2: calculated formation energy 77 meV per atom.